Entry 1:
This record from Alexandria via LeMat-Bulk describes Tl4Hg2Sb3 after structural relaxation. The functional is PBE.

```
Tl4Hg2Sb3
1.0
3.986 0.002 0.000
-1.991 9.269 3.197
-0.001 3.984 9.237
Tl Hg Sb
4 2 3
Cartesian
1.993 9.366 7.775
1.993 10.001 11.180
0.001 3.254 1.254
0.001 3.889 4.659
0.001 6.563 7.390
1.993 6.692 5.044
0.002 10.129 5.337
0.000 0.000 0.000
1.992 3.126 7.097
```

Output
VASP energy in eV per cell: -21.97
Spin magnetization in μB per atom: 0.00
Formation energy (no corrections) in eV/atom: 0.051



Entry 2:
This record from Alexandria via LeMat-Bulk describes TbSm3Ga2 after structural relaxation. The functional is PBE.

```
TbSm3Ga2
1.0
4.553 0.000 0.000
-2.277 9.772 -0.566
0.000 -4.901 7.791
Ga Tb Sm
4 2 6
Cartesian
0.000 9.037 0.486
0.000 0.854 5.585
2.277 -4.166 6.739
2.277 4.017 1.641
2.277 3.031 6.626
0.000 1.840 0.599
2.277 1.405 3.154
0.000 5.966 0.983
2.277 -1.096 6.243
0.000 3.466 4.072
0.000 -1.090 3.054
2.277 5.961 4.172
```

Output
Formation energy from the elements in eV per atom: -0.340
VASP energy in eV per cell: -53.76
Spin magnetization in μB per atom: 0.00



Entry 3:
This record from Alexandria via LeMat-Bulk describes Nd4HoEr2Tm2 after structural relaxation. The functional is PBE.

```
Nd4HoEr2Tm2
1.0
5.056 0.000 0.000
-2.528 7.607 0.018
0.000 -2.541 7.597
Er Tm Nd Ho
2 2 4 1
Cartesian
2.528 5.072 2.521
0.000 -0.007 5.094
2.528 0.008 7.601
0.000 5.057 0.014
2.528 -0.023 2.509
0.000 2.550 2.527
0.000 5.089 5.106
2.528 2.516 5.088
0.000 0.000 0.000
```

Output
Formation energy from the elements in eV per atom: 0.024
VASP energy in eV per cell: -41.50
Spin magnetization in μB per atom: 0.00



Entry 4:
This record from Alexandria via LeMat-Bulk describes KTaCl2 after structural relaxation. The functional is PBE.

```
KTaCl2
1.0
5.276 0.000 0.000
0.000 5.276 0.000
0.000 0.000 3.193
Cl Ta K
2 1 1
Cartesian
2.638 2.638 0.000
0.000 0.000 0.000
0.000 2.638 1.597
2.638 0.000 1.597
```

Output
VASP energy in eV per cell: -16.93
Spin magnetization in μB per atom: 0.70
Formation energy (no corrections) in eV/atom: -0.072



Entry 5:
This record from Alexandria via LeMat-Bulk describes DyF4 after structural relaxation. The functional is PBE.

```
DyF4
1.0
-2.356 0.654 3.637
2.551 -2.833 2.162
2.674 3.279 1.142
F Dy
4 1
Cartesian
2.613 0.223 1.652
0.159 1.967 2.390
0.098 -1.089 2.900
0.000 0.000 0.000
1.435 0.550 3.471
```

Output
VASP energy in eV per cell: -27.57
Spin magnetization in μB per atom: 0.20
Formation energy (no corrections) in eV/atom: -3.096



Entry 6:
This record from Alexandria via LeMat-Bulk describes SrY2As after structural relaxation. The functional is PBE.

```
SrY2As
1.0
-1.205 0.028 -3.665
3.133 -1.994 -1.045
-4.203 -7.296 1.325
Y As Sr
2 1 1
Cartesian
-0.337 -3.241 -1.945
-0.217 -0.377 0.068
-1.839 -3.192 0.580
-1.983 -6.100 -1.426
```

Output
Formation energy from the elements in eV per atom: -0.539
VASP energy in eV per cell: -21.42
Spin magnetization in μB per atom: 0.26



Entry 7:
This record from Alexandria via LeMat-Bulk describes AcSn3Au3 after structural relaxation. The functional is PBE.

```
AcSn3Au3
1.0
4.880 0.000 0.000
0.000 8.045 -4.598
0.000 -0.048 9.269
Ac Sn Au
2 6 6
Cartesian
1.220 5.346 0.025
3.660 2.651 4.646
1.220 1.805 7.819
3.660 2.180 0.880
1.220 5.817 3.791
3.660 7.672 2.340
3.660 6.192 -3.148
1.220 0.325 2.331
1.220 0.561 5.255
1.220 3.168 2.530
3.660 4.829 2.141
1.220 4.221 6.154
3.660 3.776 -1.483
3.660 7.437 -0.584
```

Output
Formation energy from the elements in eV per atom: -0.435
VASP energy in eV per cell: -57.98
Spin magnetization in μB per atom: 0.00



Entry 8:
This record from Alexandria via LeMat-Bulk describes TmScH2 after structural relaxation. The functional is PBE.

```
TmScH2
1.0
3.511 0.000 0.000
1.756 3.041 0.000
1.756 1.014 5.493
Tm H Sc
1 2 1
Cartesian
3.511 2.027 2.746
1.756 1.014 3.467
5.267 3.041 2.026
0.000 0.000 0.000
```

Output
VASP energy in eV per cell: -19.48
Spin magnetization in μB per atom: 0.00



Entry 9:
This record from Alexandria via LeMat-Bulk describes LaPr7Ho4 after structural relaxation. The functional is PBE.

```
LaPr7Ho4
1.0
6.078 0.000 0.000
3.039 9.146 1.790
3.039 1.763 7.943
Pr Ho La
7 4 1
Cartesian
3.039 0.000 0.000
3.039 1.829 3.810
6.078 8.338 7.805
9.118 9.081 5.923
6.078 2.572 1.928
9.118 5.453 6.537
3.039 5.457 3.196
6.078 5.786 1.433
6.078 3.745 4.999
6.078 7.164 4.734
6.078 5.123 8.300
0.000 0.000 0.000
```

Output
Formation energy from the elements in eV per atom: 0.191
VASP energy in eV per cell: -54.40
Spin magnetization in μB per atom: 0.02



Entry 10:
This record from Alexandria via LeMat-Bulk describes Hf8N2O after structural relaxation. The functional is PBE.

```
Hf8N2O
1.0
-1.847 3.243 -3.066
-4.778 -3.982 -1.180
-4.486 1.331 4.264
N O Hf
2 1 8
Cartesian
-4.954 1.379 -1.079
-6.156 -0.787 1.098
0.000 0.000 0.000
-4.965 2.937 0.442
-7.062 0.820 -0.421
-5.979 0.691 2.688
-5.132 -0.099 -2.669
-8.142 -1.328 1.733
-4.049 -0.228 0.440
-2.968 1.920 -1.715
-6.146 -2.345 -0.423
```

Output
VASP energy in eV per cell: -114.10
Spin magnetization in μB per atom: 0.00
Formation energy (no corrections) in eV/atom: -1.169



Entry 11:
This record from Alexandria via LeMat-Bulk describes Th2CoNi4Ge3 after structural relaxation. The functional is PBE.

```
Th2CoNi4Ge3
1.0
4.133 0.000 0.000
0.000 4.133 0.000
0.000 0.000 9.686
Ni Co Ge Th
4 1 3 2
Cartesian
0.000 0.000 0.000
0.000 2.066 3.632
2.066 2.066 0.000
2.066 0.000 6.053
2.066 2.066 4.843
2.066 0.000 8.445
0.000 0.000 4.843
0.000 2.066 1.241
0.000 2.066 7.269
2.066 0.000 2.417
```

Output
Formation energy from the elements in eV per atom: -0.594
VASP energy in eV per cell: -64.86
Spin magnetization in μB per atom: 0.21



Entry 12:
This record from Alexandria via LeMat-Bulk describes Si2AuC after structural relaxation. The functional is PBE.

```
Si2AuC
1.0
6.414 0.000 0.071
0.000 3.121 0.000
-6.256 0.000 6.621
Au Si C
2 4 2
Cartesian
0.093 1.560 0.368
-3.035 0.000 3.679
-3.646 1.560 6.630
-0.518 0.000 3.319
2.080 1.560 2.378
-1.048 0.000 5.688
0.262 1.560 2.760
-2.866 0.000 6.070
```

Output
VASP energy in eV per cell: -44.33
Spin magnetization in μB per atom: 0.00
Formation energy (no corrections) in eV/atom: 0.296



Entry 13:
This record from Alexandria via LeMat-Bulk describes DyZnAu4 after structural relaxation. The functional is PBE.

```
DyZnAu4
1.0
-1.051 -3.840 -3.238
5.020 -0.616 -0.869
-1.951 -3.092 9.211
Dy Au Zn
2 8 2
Cartesian
2.976 -3.342 -3.081
-0.958 -4.206 8.185
-1.566 -5.073 5.345
1.132 -3.101 1.321
3.584 -2.474 -0.241
0.885 -4.447 3.783
1.469 -3.463 6.528
3.116 -5.330 -0.733
-1.098 -2.217 5.837
0.549 -4.085 -1.424
-1.501 -3.466 2.987
1.535 -1.854 4.171
```

Output
Formation energy from the elements in eV per atom: -0.452
VASP energy in eV per cell: -43.39
Spin magnetization in μB per atom: 0.00



Entry 14:
This record from Alexandria via LeMat-Bulk describes La2MgAl4Ir3 after structural relaxation. The functional is PBE.

```
La2MgAl4Ir3
1.0
4.208 0.000 0.000
0.000 4.208 0.000
0.000 0.000 11.245
Ir La Al Mg
3 2 4 1
Cartesian
2.104 0.000 9.785
0.000 0.000 5.622
0.000 2.104 1.459
2.104 0.000 2.649
0.000 2.104 8.596
2.104 0.000 7.206
0.000 0.000 0.000
0.000 2.104 4.039
2.104 2.104 0.000
2.104 2.104 5.622
```

Output
Formation energy from the elements in eV per atom: -0.701
VASP energy in eV per cell: -60.02
Spin magnetization in μB per atom: 0.00



Entry 15:
This record from Alexandria via LeMat-Bulk describes ScMn2AgRu after structural relaxation. The functional is PBE.

```
ScMn2AgRu
1.0
4.447 0.000 0.000
0.000 4.813 0.000
0.000 0.000 4.447
Sc Mn Ag Ru
1 2 1 1
Cartesian
0.000 0.000 0.000
2.224 0.000 0.000
0.000 0.000 2.224
0.000 2.407 0.000
2.224 2.407 2.224
```

Output
Formation energy from the elements in eV per atom: 1.603
VASP energy in eV per cell: -28.78
Spin magnetization in μB per atom: 1.56



Entry 16:
This record from Alexandria via LeMat-Bulk describes AcCdBi2 after structural relaxation. The functional is PBE.

```
AcCdBi2
1.0
-1.593 3.438 -0.704
-3.094 1.135 1.998
4.571 5.812 7.494
Cd Bi Ac
1 2 1
Cartesian
0.000 0.000 0.000
-0.221 2.462 1.976
0.105 7.924 6.813
-0.058 5.193 4.394
```

Output
Formation energy from the elements in eV per atom: -0.133
VASP energy in eV per cell: -13.32
Spin magnetization in μB per atom: 0.00



Entry 17:
This record from Alexandria via LeMat-Bulk describes KBaMo2 after structural relaxation. The functional is PBE.

```
KBaMo2
1.0
-3.370 0.106 -0.654
-0.227 -3.366 0.623
-2.103 -0.768 10.705
K Mo Ba
1 2 1
Cartesian
-3.547 -2.687 8.820
-0.384 -3.118 1.475
-2.127 -1.208 1.743
-1.033 -2.448 4.922
```

Output
Formation energy from the elements in eV per atom: 0.774
VASP energy in eV per cell: -21.59
Spin magnetization in μB per atom: 0.12



Entry 18:
This record from Alexandria via LeMat-Bulk describes Y2CuPt2 after structural relaxation. The functional is PBE.

```
Y2CuPt2
1.0
-0.440 -5.442 5.625
7.794 -0.817 -0.182
0.328 2.567 2.509
Y Cu Pt
4 2 4
Cartesian
4.806 -5.094 4.583
6.370 -2.513 1.739
0.985 -3.746 3.704
2.549 -1.166 0.860
3.677 -3.130 2.722
0.000 0.000 0.000
6.648 -2.868 4.654
5.035 0.045 1.884
2.647 -3.739 6.068
1.035 -0.825 3.298
```

Output
Formation energy from the elements in eV per atom: -0.633
VASP energy in eV per cell: -64.54
Spin magnetization in μB per atom: 0.00



Entry 19:
This record from Alexandria via LeMat-Bulk describes NaAlIn2 after structural relaxation. The functional is PBE.

```
NaAlIn2
1.0
-3.102 0.689 3.510
-3.818 -2.775 0.363
0.553 -4.208 4.507
In Al Na
2 1 1
Cartesian
0.039 -3.577 3.929
-1.755 -1.373 1.911
-4.188 -5.442 6.946
-3.093 -3.258 4.292
```

Output
Formation energy from the elements in eV per atom: 0.046
VASP energy in eV per cell: -10.35
Spin magnetization in μB per atom: 0.00



Entry 20:
This record from Alexandria via LeMat-Bulk describes NbTlBi2 after structural relaxation. The functional is PBE.

```
NbTlBi2
1.0
3.452 0.000 0.000
1.726 2.990 0.000
1.726 0.997 11.413
Bi Tl Nb
2 1 1
Cartesian
1.726 0.997 7.911
5.179 2.990 3.502
0.000 0.000 0.000
3.452 1.993 5.707
```

Output
Formation energy from the elements in eV per atom: 0.110
VASP energy in eV per cell: -19.76
Spin magnetization in μB per atom: 0.00



Entry 21:
This record from Alexandria via LeMat-Bulk describes CrHgPPt2 after structural relaxation. The functional is PBE.

```
CrHgPPt2
1.0
4.610 0.000 0.000
0.000 5.003 0.000
0.000 0.000 4.610
Pt Hg P Cr
2 1 1 1
Cartesian
0.000 0.000 2.305
2.305 0.000 0.000
0.000 2.502 0.000
2.305 2.502 2.305
0.000 0.000 0.000
```

Output
Formation energy from the elements in eV per atom: 1.232
VASP energy in eV per cell: -21.25
Spin magnetization in μB per atom: 0.48



Entry 22:
This record from Alexandria via LeMat-Bulk describes Sr2Li5Sn4 after structural relaxation. The functional is PBE.

```
Sr2Li5Sn4
1.0
-4.432 4.294 1.940
-5.209 -1.734 2.722
1.590 2.644 8.569
Li Sn Sr
5 4 2
Cartesian
-4.821 1.280 2.331
-2.604 -0.867 1.361
-2.216 2.147 0.970
-5.134 3.675 7.100
-2.917 1.528 6.130
-5.543 1.659 5.233
-6.000 4.036 9.715
-2.051 1.168 3.516
-2.508 3.544 7.998
-3.210 4.453 4.381
0.367 2.484 6.128
```

Output
Formation energy from the elements in eV per atom: -0.390
VASP energy in eV per cell: -33.23
Spin magnetization in μB per atom: 0.00



Entry 23:
This record from Alexandria via LeMat-Bulk describes NaPm3Os after structural relaxation. The functional is PBE.

```
NaPm3Os
1.0
5.609 0.000 0.000
0.000 5.609 0.000
0.000 0.000 5.609
Pm Os Na
3 1 1
Cartesian
0.000 0.000 2.804
0.000 2.804 0.000
2.804 0.000 0.000
0.000 0.000 0.000
2.804 2.804 2.804
```

Output
Formation energy from the elements in eV per atom: 0.080
VASP energy in eV per cell: -26.40
Spin magnetization in μB per atom: 0.00



Entry 24:
This record from Alexandria via LeMat-Bulk describes Mg3RhBr after structural relaxation. The functional is PBE.

```
Mg3RhBr
1.0
-3.779 -3.118 -0.355
2.803 -3.103 -2.578
1.412 -2.186 4.166
Rh Mg Br
1 3 1
Cartesian
0.218 -4.203 0.616
0.706 -1.093 2.083
1.401 -1.551 -1.289
-1.889 -1.559 -0.178
0.000 0.000 0.000
```

Output
VASP energy in eV per cell: -11.01
Spin magnetization in μB per atom: 0.00
Formation energy (no corrections) in eV/atom: 0.560



Entry 25:
This record from Alexandria via LeMat-Bulk describes TmCo4Pb after structural relaxation. The functional is PBE.

```
TmCo4Pb
1.0
5.024 0.000 0.000
2.512 4.351 0.000
2.512 1.450 4.102
Co Tm Pb
4 1 1
Cartesian
5.024 1.446 2.565
6.284 3.628 2.565
3.764 3.628 2.565
5.024 2.901 0.508
0.000 0.000 0.000
2.512 1.450 1.026
```

Output
Formation energy from the elements in eV per atom: -0.018
VASP energy in eV per cell: -36.71
Spin magnetization in μB per atom: 0.87